Compound: CaAlCr
Source: Alexandria via LeMat-Bulk
Functional: GGA-PBE
Structure: optimized geometry

Calculated values
N(E_F): 3.8 states/eV per cell
M_tot: 3.91 μB per formula unit
ΔH_f (0 K): 0.985 eV/atom
Crystal system: cubic

Cell and atoms, written as POSCAR:
```
CaAlCr
1.0
-0.979 -4.816 0.088
3.668 -3.259 -0.291
1.220 -2.685 3.933
Al Cr Ca
1 1 1
Cartesian
1.955 -5.380 1.865
0.000 0.000 0.000
0.977 -2.690 0.932
```